No. 1
Here is a geometry-optimized HoZnAgPd structure from Alexandria. Energies are from PBE-GGA.

The structure in CIF format:
```
data_HoZnAgPd
_chemical_formula_sum 'Ho1 Zn1 Ag1 Pd1'
_cell_length_a 4.746
_cell_length_b 4.746
_cell_length_c 4.746
_cell_angle_alpha 60.00
_cell_angle_beta 60.00
_cell_angle_gamma 60.00
_space_group_name_H-M_alt 'P 1'
_space_group_IT_number 1
loop_
_space_group_symop_operation_xyz
'x,y,z'
loop_
_atom_site_label
_atom_site_type_symbol
_atom_site_fract_x
_atom_site_fract_y
_atom_site_fract_z
Ho1 Ho 0.000 0.000 0.000
Zn1 Zn 0.500 0.500 0.500
Ag1 Ag 0.250 0.250 0.250
Pd1 Pd 0.750 0.750 0.750
```

crystal system: cubic
space-group type: F-43m

---

No. 2
Here is a geometry-optimized HoZrAgPd structure from Alexandria. Energies are from PBE-GGA.

The structure in CIF format:
```
data_HoZrAgPd
_chemical_formula_sum 'Ho1 Zr1 Ag1 Pd1'
_cell_length_a 4.915
_cell_length_b 4.915
_cell_length_c 4.915
_cell_angle_alpha 60.00
_cell_angle_beta 60.00
_cell_angle_gamma 60.00
_space_group_name_H-M_alt 'P 1'
_space_group_IT_number 1
loop_
_space_group_symop_operation_xyz
'x,y,z'
loop_
_atom_site_label
_atom_site_type_symbol
_atom_site_fract_x
_atom_site_fract_y
_atom_site_fract_z
Ho1 Ho 0.000 0.000 0.000
Zr1 Zr 0.500 0.500 0.500
Ag1 Ag 0.250 0.250 0.250
Pd1 Pd 0.750 0.750 0.750
```

crystal system: cubic
space-group type: F-43m

---

No. 3
Here is a geometry-optimized Pm3Ho2Ag2 structure from Alexandria. Energies are from PBE-GGA.

The structure in CIF format:
```
data_Pm3Ho2Ag2
_chemical_formula_sum 'Pm3 Ho2 Ag2'
_cell_length_a 11.864
_cell_length_b 11.864
_cell_length_c 3.465
_cell_angle_alpha 90.00
_cell_angle_beta 90.00
_cell_angle_gamma 156.27
_space_group_name_H-M_alt 'P 1'
_space_group_IT_number 1
loop_
_space_group_symop_operation_xyz
'x,y,z'
loop_
_atom_site_label
_atom_site_type_symbol
_atom_site_fract_x
_atom_site_fract_y
_atom_site_fract_z
Pm1 Pm 0.000 0.000 0.000
Pm2 Pm 0.140 0.860 0.000
Pm3 Pm 0.860 0.140 0.000
Ho1 Ho 0.292 0.708 0.500
Ho2 Ho 0.708 0.292 0.500
Ag1 Ag 0.429 0.571 0.500
Ag2 Ag 0.571 0.429 0.500
```

distance to the lowest polymorph of the same formula: 3.608 kcal/mol of atoms
crystal system: orthorhombic
space-group type: Cmmm

---

No. 4
Here is a geometry-optimized Pm3Ho2Ag2 structure from Alexandria. Energies are from PBE-GGA.

The structure in CIF format:
```
data_Pm3Ho2Ag2
_chemical_formula_sum 'Pm3 Ho2 Ag2'
_cell_length_a 6.782
_cell_length_b 6.782
_cell_length_c 9.271
_cell_angle_alpha 114.12
_cell_angle_beta 114.12
_cell_angle_gamma 32.16
_space_group_name_H-M_alt 'P 1'
_space_group_IT_number 1
loop_
_space_group_symop_operation_xyz
'x,y,z'
loop_
_atom_site_label
_atom_site_type_symbol
_atom_site_fract_x
_atom_site_fract_y
_atom_site_fract_z
Pm1 Pm 0.000 0.000 0.000
Pm2 Pm 0.109 0.109 0.445
Pm3 Pm 0.891 0.891 0.555
Ho1 Ho 0.352 0.352 0.186
Ho2 Ho 0.648 0.648 0.814
Ag1 Ag 0.323 0.323 0.778
Ag2 Ag 0.677 0.677 0.222
```

distance to the lowest polymorph of the same formula: 0.000 kcal/mol of atoms
crystal system: monoclinic
space-group type: C2/m

---

No. 5
Here is a geometry-optimized Pm2Ho6Ag structure from Alexandria. Energies are from PBE-GGA.

The structure in CIF format:
```
data_Pm2Ho6Ag
_chemical_formula_sum 'Pm4 Ho12 Ag2'
_cell_length_a 9.765
_cell_length_b 10.137
_cell_length_c 5.429
_cell_angle_alpha 90.00
_cell_angle_beta 90.00
_cell_angle_gamma 90.00
_space_group_name_H-M_alt 'P 1'
_space_group_IT_number 1
loop_
_space_group_symop_operation_xyz
'x,y,z'
loop_
_atom_site_label
_atom_site_type_symbol
_atom_site_fract_x
_atom_site_fract_y
_atom_site_fract_z
Pm1 Pm 0.193 0.244 0.000
Pm2 Pm 0.307 0.744 0.500
Pm3 Pm 0.693 0.256 0.500
Pm4 Pm 0.807 0.756 0.000
Ho1 Ho 0.021 0.317 0.500
Ho2 Ho 0.134 0.894 0.000
Ho3 Ho 0.185 0.569 0.000
Ho4 Ho 0.315 0.069 0.500
Ho5 Ho 0.366 0.394 0.500
Ho6 Ho 0.479 0.817 0.000
Ho7 Ho 0.521 0.183 0.000
Ho8 Ho 0.634 0.606 0.500
Ho9 Ho 0.685 0.931 0.500
Ho10 Ho 0.815 0.431 0.000
Ho11 Ho 0.866 0.106 0.000
Ho12 Ho 0.979 0.683 0.500
Ag1 Ag 0.000 0.000 0.500
Ag2 Ag 0.500 0.500 0.000
```

crystal system: orthorhombic
space-group type: Pnnm

---

No. 6
Here is a geometry-optimized Pm2HoAg structure from Alexandria. Energies are from PBE-GGA.

The structure in CIF format:
```
data_Pm2HoAg
_chemical_formula_sum 'Pm4 Ho2 Ag2'
_cell_length_a 9.456
_cell_length_b 9.456
_cell_length_c 9.456
_cell_angle_alpha 148.19
_cell_angle_beta 148.19
_cell_angle_gamma 45.61
_space_group_name_H-M_alt 'P 1'
_space_group_IT_number 1
loop_
_space_group_symop_operation_xyz
'x,y,z'
loop_
_atom_site_label
_atom_site_type_symbol
_atom_site_fract_x
_atom_site_fract_y
_atom_site_fract_z
Pm1 Pm 0.000 0.500 0.500
Pm2 Pm 0.141 0.141 0.000
Pm3 Pm 0.500 0.000 0.500
Pm4 Pm 0.859 0.859 0.000
Ho1 Ho 0.352 0.352 0.000
Ho2 Ho 0.648 0.648 0.000
Ag1 Ag 0.250 0.750 0.500
Ag2 Ag 0.750 0.250 0.500
```

distance to the lowest polymorph of the same formula: 0.000 kcal/mol of atoms
crystal system: tetragonal
space-group type: I4/mmm

---

Calculated ρ in order - 9.77; 9.30; 8.30; 7.93; 8.58; 7.98 Mg/m³
Calculated raw total energy in order - -15.75; -22.69; -28.81; -29.91; -79.11; -34.84 eV per cell
Calculated formation energy in order - -463; -381; 42; -114; 29; -122 meV/atom